No. 1
Here is a relaxed structure of LiTb2MnS5 from the Alexandria database. Energies are from PBE.

Structure (POSCAR):
```
LiTb2MnS5
1.0
1.917 -8.528 0.000
1.917 8.528 0.000
0.000 0.000 10.556
Li Tb Mn S
2 4 2 10
Direct
0.223 0.777 0.500 Li
0.777 0.223 0.000 Li
0.111 0.889 0.805 Tb
0.120 0.880 0.187 Tb
0.880 0.120 0.687 Tb
0.889 0.111 0.305 Tb
0.406 0.594 0.986 Mn
0.594 0.406 0.486 Mn
0.033 0.967 0.567 S
0.301 0.699 0.839 S
0.313 0.687 0.154 S
0.360 0.640 0.498 S
0.482 0.518 0.801 S
0.518 0.482 0.301 S
0.640 0.360 0.998 S
0.687 0.313 0.654 S
0.699 0.301 0.339 S
0.967 0.033 0.067 S
```

Energy relative to the elements, uncorrected in meV per atom: -1530
Volume in Å³ per cell: 345
M_tot in μB per cell: 8.03

=====

No. 2
Here is a relaxed structure of LiTb2MnS4 from the Alexandria database. Energies are from PBE.

Structure (POSCAR):
```
LiTb2MnS4
1.0
6.089 0.000 0.000
0.000 3.844 0.000
-2.395 0.000 6.115
Li Tb Mn S
1 2 1 4
Direct
0.000 0.000 0.000 Li
0.500 0.000 0.500 Tb
0.500 0.500 0.000 Tb
0.000 0.500 0.500 Mn
0.207 0.000 0.727 S
0.221 0.500 0.248 S
0.779 0.500 0.752 S
0.793 0.000 0.273 S
```

Energy relative to the elements, uncorrected in meV per atom: -1377
Volume in Å³ per cell: 143
M_tot in μB per cell: 0.03

=====

No. 3
Here is a relaxed structure of LiMn2TeS from the Alexandria database. Energies are from PBE.

Structure (POSCAR):
```
LiMn2TeS
1.0
4.670 0.000 0.000
0.000 4.670 0.000
0.000 0.000 4.614
Li Mn Te S
1 2 1 1
Direct
0.000 0.000 0.000 Li
0.000 0.500 0.500 Mn
0.500 0.000 0.500 Mn
0.500 0.500 0.000 Te
0.000 0.000 0.500 S
```

Energy relative to the elements, uncorrected in meV per atom: -254
Volume in Å³ per cell: 101
M_tot in μB per cell: 8.99

=====

No. 4
Here is a relaxed structure of LiTi4MnS8 from the Alexandria database. Energies are from PBE.

Structure (POSCAR):
```
LiTi4MnS8
1.0
3.583 2.069 5.644
-3.583 2.069 5.644
0.000 -4.138 5.644
Li Ti Mn S
1 4 1 8
Direct
0.000 0.000 0.000 Li
0.098 0.631 0.631 Ti
0.236 0.236 0.236 Ti
0.631 0.098 0.631 Ti
0.631 0.631 0.098 Ti
0.654 0.654 0.654 Mn
0.375 0.375 0.375 S
0.385 0.876 0.876 S
0.406 0.406 0.839 S
0.406 0.839 0.406 S
0.839 0.406 0.406 S
0.869 0.869 0.869 S
0.876 0.385 0.876 S
0.876 0.876 0.385 S
```

Energy relative to the elements, uncorrected in meV per atom: -1140
Volume in Å³ per cell: 251
M_tot in μB per cell: 2.02

=====

No. 5
Here is a relaxed structure of Li3Ti2MnS6 from the Alexandria database. Energies are from PBE.

Structure (POSCAR):
```
Li3Ti2MnS6
1.0
3.063 -5.306 0.000
3.063 5.306 0.000
-2.049 0.000 6.059
Li Ti Mn S
3 2 1 6
Direct
0.000 0.000 0.000 Li
0.335 0.665 0.000 Li
0.665 0.335 0.000 Li
0.167 0.833 0.500 Ti
0.833 0.167 0.500 Ti
0.500 0.500 0.500 Mn
0.080 0.422 0.265 S
0.237 0.237 0.736 S
0.422 0.080 0.265 S
0.578 0.920 0.735 S
0.763 0.763 0.264 S
0.920 0.578 0.735 S
```

Energy relative to the elements, uncorrected in meV per atom: -1235
Volume in Å³ per cell: 197
M_tot in μB per cell: 3.99

=====

No. 6
Here is a relaxed structure of Li4Ti3MnS8 from the Alexandria database. Energies are from PBE.

Structure (POSCAR):
```
Li4Ti3MnS8
1.0
3.516 2.030 6.081
-3.516 2.030 6.081
0.000 -4.060 6.081
Li Ti Mn S
4 3 1 8
Direct
0.000 0.000 0.000 Li
0.000 0.500 0.500 Li
0.500 0.000 0.500 Li
0.500 0.500 0.000 Li
0.000 0.000 0.500 Ti
0.000 0.500 0.000 Ti
0.500 0.000 0.000 Ti
0.500 0.500 0.500 Mn
0.241 0.747 0.747 S
0.245 0.245 0.245 S
0.253 0.253 0.759 S
0.253 0.759 0.253 S
0.747 0.241 0.747 S
0.747 0.747 0.241 S
0.755 0.755 0.755 S
0.759 0.253 0.253 S
```

Energy relative to the elements, uncorrected in meV per atom: -1278
Volume in Å³ per cell: 260
M_tot in μB per cell: 5.51

=====

Please write out number 5 again, unchanged.
Here is a relaxed structure of Li3Ti2MnS6 from the Alexandria database. Energies are from PBE.

Structure (POSCAR):
```
Li3Ti2MnS6
1.0
3.063 -5.306 0.000
3.063 5.306 0.000
-2.049 0.000 6.059
Li Ti Mn S
3 2 1 6
Direct
0.000 0.000 0.000 Li
0.335 0.665 0.000 Li
0.665 0.335 0.000 Li
0.167 0.833 0.500 Ti
0.833 0.167 0.500 Ti
0.500 0.500 0.500 Mn
0.080 0.422 0.265 S
0.237 0.237 0.736 S
0.422 0.080 0.265 S
0.578 0.920 0.735 S
0.763 0.763 0.264 S
0.920 0.578 0.735 S
```

Energy relative to the elements, uncorrected in meV per atom: -1235
Volume in Å³ per cell: 197
M_tot in μB per cell: 3.99